A plane-wave DFT calculation with PBE-GGA was carried out for TePAuI2 after structural relaxation.

abc: 5.550 5.550 5.685
angles: 90.00 90.00 90.00
Atoms (fractional coordinates):
Te  0.000  0.000  0.000
P  0.500  0.500  0.000
Au  0.000  0.000  0.500
I  0.000  0.500  0.500
I  0.500  0.000  0.500

Crystal system ... tetragonal
SG ... P4/mmm
E above lowest polymorph ... 0.199 eV/atom

---

A plane-wave DFT calculation with PBE-GGA was carried out for PaAuI6 after structural relaxation.

abc: 7.860 7.860 7.983
angles: 104.56 104.56 117.57
Atoms (fractional coordinates):
Pa  0.000  0.000  0.000
Au  0.000  0.000  0.500
I  0.160  0.837  0.256
I  0.163  0.840  0.744
I  0.409  0.409  0.204
I  0.591  0.591  0.796
I  0.837  0.160  0.256
I  0.840  0.163  0.744

Crystal system ... monoclinic
SG ... C2/m
E above lowest polymorph ... 0.046 eV/atom

---

A plane-wave DFT calculation with PBE-GGA was carried out for PaAuI after structural relaxation.

abc: 4.087 6.376 8.000
angles: 86.94 88.89 79.53
Atoms (fractional coordinates):
Pa  0.000  0.000  0.000
Pa  0.189  0.357  0.073
Au  0.091  0.696  0.712
Au  0.606  0.651  0.943
I  0.081  0.714  0.349
I  0.423  0.185  0.718

Crystal system ... triclinic
SG ... P1

---

no.,uncorrected formation energy (eV per formula unit)
1,4.1
2,-5.2
3,-0.2